First-principles (PBE+U) data for a relaxed structure of Ni3GeF, as listed in Alexandria.

Summary:
For the total energy, the calculation gives -1.615 eV/atom. The value obtained for the distance to the lowest polymorph of the same formula is 1066 meV/atom. Its total magnetization is 0.0 μB/cell.

Cell: 4.3226 4.3226 4.3226 Å, 90.00 90.00 90.00°
Space group Pm-3m (No. 221)
Unique sites:
Ni: 0.0000 0.0000 0.5000 x3
Ge: 0.0000 0.0000 0.0000 x1
F: 0.5000 0.5000 0.5000 x1